Below is a relaxed ZnNi2O4 crystal, with properties calculated at the GGA+U level.

calculated total energy: -4.60 eV per atom
space-group type: Cmcm (63)
energy relative to the lowest polymorph listed for this composition: 83 kJ/mol of formula units
calculated density: 6.230 Mg/m³

a = 4.9996 Å, b = 4.9996 Å, c = 9.4873 Å
α = 90.00°, β = 90.00°, γ = 146.30°
Element x y z (fractional)
Zn  0.1085  0.8915  0.7500
Zn  0.8915  0.1085  0.2500
Ni  0.3667  0.6333  0.5689
Ni  0.3667  0.6333  0.9311
Ni  0.6333  0.3667  0.0689
Ni  0.6333  0.3667  0.4311
O  0.0000  0.0000  0.0000
O  0.0000  0.0000  0.5000
O  0.2740  0.7260  0.1130
O  0.2740  0.7260  0.3870
O  0.4586  0.5414  0.7500
O  0.5414  0.4586  0.2500
O  0.7260  0.2740  0.6130
O  0.7260  0.2740  0.8870